Entry 1:
AcCe2ScSe6: optimized geometry, PBE.

Values from the calculation:
The volume comes out at 314 Å³ per cell. For the density, the calculation gives 5429 kg/m3. The energy relative to the elements, uncorrected comes out at -1.75 eV/atom. As for the space-group type: No. 146.

Cell lengths 7.4376, 7.4376, 7.8320 Å; angles 61.65, 61.65, 60.00 degrees
With the nearest neighbours (Å) after each atom.
Fractional positions:
Se1 0.1417 0.3946 0.7582  1 Sc 2.76, 2 Ce 2.91-3.00, 1 Ac 3.04
Se2 0.5870 0.2155 0.2477  1 Sc 2.77, 2 Ce 2.98-3.00
Se3 0.3946 0.7055 0.7582  1 Sc 2.76, 2 Ce 2.91-3.00, 1 Ac 3.04
Se4 0.7055 0.1417 0.7582  1 Sc 2.76, 2 Ce 2.91-3.00, 1 Ac 3.04
Se5 0.9497 0.5870 0.2477  1 Sc 2.77, 2 Ce 2.98-3.00
Se6 0.2155 0.9497 0.2477  1 Sc 2.77, 2 Ce 2.98-3.00
Ac1 0.8087 0.8086 0.5740  6 Se 3.04-3.17
Ce1 0.5232 0.5232 0.4303  6 Se 2.98-3.00
Ce2 0.0129 0.0129 0.9614  6 Se 2.91-3.00
Sc1 0.3227 0.3227 0.0318  6 Se 2.76-2.77

***

Entry 2:
AcCeSmSc: optimized geometry, PBE.

Values from the calculation:
The volume comes out at 134 Å³ per cell. For the density, the calculation gives 6982 kg/m3. The calculation puts the formation enthalpy at 0 K at 0.82 eV per formula unit. As for the space-group type: No. 216.

Cell lengths 5.7406, 5.7406, 5.7406 Å; angles 60.00, 60.00, 60.00 degrees
With the nearest neighbours (Å) after each atom.
Fractional positions:
Sc1 0.5000 0.5000 0.5000  4 Ce 3.52, 4 Ac 3.52
Ac1 0.7500 0.7500 0.7500  4 Sc 3.52, 4 Sm 3.52
Ce1 0.2500 0.2500 0.2500  4 Sm 3.52, 4 Sc 3.52
Sm1 0.0000 0.0000 0.0000  4 Ac 3.52, 4 Ce 3.52

***

Entry 3:
AcCeScSn: optimized geometry, PBE.

Values from the calculation:
The volume comes out at 115 Å³ per cell. For the density, the calculation gives 7660 kg/m3. The calculation puts the formation enthalpy at 0 K at -0.47 eV per formula unit. As for the space-group type: No. 216.

Cell lengths 5.4596, 5.4596, 5.4596 Å; angles 60.00, 60.00, 60.00 degrees
With the nearest neighbours (Å) after each atom.
Fractional positions:
Sn1 0.0000 0.0000 0.0000  4 Ce 3.34, 4 Sc 3.34
Ce1 0.7500 0.7500 0.7500  4 Sn 3.34, 4 Ac 3.34
Sc1 0.2500 0.2500 0.2500  4 Ac 3.34, 4 Sn 3.34
Ac1 0.5000 0.5000 0.5000  4 Sc 3.34, 4 Ce 3.34

***

Entry 4:
AcTbCeSc: optimized geometry, PBE.

Values from the calculation:
The volume comes out at 132 Å³ per cell. For the density, the calculation gives 7199 kg/m3. The calculation puts the formation enthalpy at 0 K at 0.74 eV per formula unit. As for the space-group type: No. 216.

Cell lengths 5.7110, 5.7110, 5.7110 Å; angles 60.00, 60.00, 60.00 degrees
With the nearest neighbours (Å) after each atom.
Fractional positions:
Sc1 0.0000 0.0000 0.0000  4 Ce 3.50, 4 Ac 3.50
Tb1 0.5000 0.5000 0.5000  4 Ac 3.50, 4 Ce 3.50
Ce1 0.2500 0.2500 0.2500  4 Tb 3.50, 4 Sc 3.50
Ac1 0.7500 0.7500 0.7500  4 Tb 3.50, 4 Sc 3.50

***

| no. | N(E_F) (states/eV per cell) | uncorrected energy (eV per atom) |
| --- | --- | --- |
| 1 | 10.734 | -6.07 |
| 2 | 10.908 | -5.07 |
| 3 | 9.805 | -5.21 |
| 4 | 9.805 | -5.07 |